i:
VASP calculation (PBE-GGA) on an optimized crystal structure of Ac2CeGa2.

Summary:
Magnetic moment ... 2.65 Bohr magnetons per cell

Unit cell a=12.6010 b=4.8861 c=11.4967 alpha=90.00 beta=119.36 gamma=90.00
With the nearest neighbours (Å) after each atom.
Space group C2/m (No. 12)
Inequivalent atoms, fractional coordinates:
Ac 0.0126 0.0000 0.1806 [4 per cell]  6 Ga 3.38-3.50, 3 Ce 3.58-3.73
Ac 0.1899 0.0000 0.6014 [4 per cell]  6 Ga 3.27-3.66
Ce 0.2109 0.5000 0.8590 [4 per cell]  4 Ga 3.05-3.09
Ga 0.0292 0.5000 0.4040 [4 per cell]  1 Ga 2.65
Ga 0.1232 0.5000 0.0669 [4 per cell]  1 Ga 2.71

=====

ii:
VASP calculation (PBE-GGA) on an optimized crystal structure of Ac2CeGa2.

Summary:
Magnetic moment ... 1.14 Bohr magnetons per cell

Unit cell a=10.9319 b=6.7373 c=4.7074 alpha=90.00 beta=115.43 gamma=90.00
With the nearest neighbours (Å) after each atom.
Space group C2/m (No. 12)
Inequivalent atoms, fractional coordinates:
Ac 0.2024 0.0000 0.2020 [4 per cell]  6 Ga 3.39-3.54, 2 Ce 3.76-3.77
Ce 0.0000 0.5000 0.0000 [2 per cell]  4 Ga 3.07
Ga 0.0000 0.2068 0.5000 [4 per cell]  1 Ga 2.79, 2 Ce 3.07

=====

Question: of the structures shown, which is the least stable? Reply: ii.